VHgSbTe2 | GGA-PBE | relaxed

Cell: 5.594 5.594 5.427 Å, 90.00 90.00 90.00°
Fractional positions:
V: 0.000 0.000 0.000
Hg: 0.500 0.500 0.500
Sb: 0.500 0.500 0.000
Te: 0.000 0.500 0.500
Te: 0.500 0.000 0.500

## Properties
**Energy relative to the elements, uncorrected**: 1.324 eV/atom
**Excess energy over the best structure of this formula in the dataset**: 1131 meV/atom